Pm12Rh3N5 after structural relaxation, computed with GGA-PBE.

a = 13.546 Å, b = 13.546 Å, c = 13.546 Å
α = 109.47°, β = 109.47°, γ = 109.47°
Fractional coordinates of all 80 atoms:
Rh (0.750, 0.375, 0.125)
Rh (0.875, 0.750, 0.125)
Rh (0.375, 0.750, 0.625)
Rh (0.250, 0.125, 0.375)
Rh (0.875, 0.125, 0.250)
Rh (0.375, 0.625, 0.250)
Rh (0.625, 0.375, 0.750)
Rh (0.125, 0.875, 0.750)
Rh (0.750, 0.875, 0.625)
Rh (0.625, 0.250, 0.375)
Rh (0.125, 0.250, 0.875)
Rh (0.250, 0.625, 0.875)
N (0.125, 0.375, 0.250)
N (0.000, 0.500, 0.000)
N (0.000, 0.000, 0.000)
N (0.375, 0.250, 0.125)
N (0.500, 0.000, 0.500)
N (0.500, 0.500, 0.000)
N (0.125, 0.750, 0.375)
N (0.750, 0.125, 0.875)
N (0.750, 0.625, 0.375)
N (0.375, 0.125, 0.750)
N (0.625, 0.875, 0.250)
N (0.500, 0.500, 0.500)
N (0.500, 0.000, 0.000)
N (0.000, 0.000, 0.500)
N (0.250, 0.375, 0.625)
N (0.250, 0.875, 0.125)
N (0.000, 0.500, 0.500)
N (0.875, 0.250, 0.625)
N (0.625, 0.750, 0.875)
N (0.875, 0.625, 0.750)
Pm (0.705, 0.120, 0.024)
Pm (0.319, 0.524, 0.404)
Pm (0.976, 0.380, 0.295)
Pm (0.524, 0.205, 0.120)
Pm (0.585, 0.705, 0.681)
Pm (0.976, 0.596, 0.181)
Pm (0.319, 0.795, 0.415)
Pm (0.096, 0.915, 0.120)
Pm (0.596, 0.976, 0.681)
Pm (0.705, 0.585, 0.181)
Pm (0.795, 0.476, 0.380)
Pm (0.819, 0.904, 0.024)
Pm (0.120, 0.705, 0.524)
Pm (0.380, 0.404, 0.085)
Pm (0.085, 0.904, 0.380)
Pm (0.415, 0.120, 0.596)
Pm (0.085, 0.181, 0.205)
Pm (0.476, 0.681, 0.096)
Pm (0.819, 0.915, 0.295)
Pm (0.120, 0.415, 0.096)
Pm (0.380, 0.976, 0.795)
Pm (0.596, 0.620, 0.415)
Pm (0.904, 0.819, 0.524)
Pm (0.795, 0.319, 0.915)
Pm (0.404, 0.380, 0.585)
Pm (0.096, 0.181, 0.476)
Pm (0.205, 0.681, 0.085)
Pm (0.181, 0.085, 0.705)
Pm (0.620, 0.024, 0.205)
Pm (0.880, 0.585, 0.904)
Pm (0.524, 0.319, 0.904)
Pm (0.585, 0.880, 0.404)
Pm (0.915, 0.819, 0.795)
Pm (0.915, 0.096, 0.620)
Pm (0.880, 0.295, 0.476)
Pm (0.181, 0.096, 0.976)
Pm (0.620, 0.596, 0.915)
Pm (0.404, 0.024, 0.319)
Pm (0.295, 0.415, 0.819)
Pm (0.205, 0.524, 0.620)
Pm (0.904, 0.085, 0.880)
Pm (0.681, 0.205, 0.585)
Pm (0.476, 0.795, 0.880)
Pm (0.024, 0.404, 0.819)
Pm (0.415, 0.295, 0.319)
Pm (0.024, 0.620, 0.705)
Pm (0.681, 0.476, 0.596)
Pm (0.295, 0.880, 0.976)

Summary:
total magnetization = 0.00 μB per formula unit
crystal system = cubic
DFT total energy = -6.85 eV per atom
SG = Ia-3d
ΔE_f (raw) = -0.82 eV per atom



CsLiPSe4 after structural relaxation, computed with GGA-PBE.

a = 6.860 Å, b = 6.534 Å, c = 10.342 Å
α = 90.00°, β = 103.57°, γ = 90.00°
Fractional coordinates of all 14 atoms:
Cs (0.793, 0.750, 0.978)
Cs (0.207, 0.250, 0.022)
Li (0.849, 0.750, 0.459)
Li (0.151, 0.250, 0.541)
P (0.246, 0.750, 0.313)
P (0.754, 0.250, 0.687)
Se (0.968, 0.509, 0.688)
Se (0.032, 0.009, 0.312)
Se (0.032, 0.491, 0.312)
Se (0.968, 0.991, 0.688)
Se (0.372, 0.750, 0.138)
Se (0.628, 0.250, 0.862)
Se (0.487, 0.750, 0.504)
Se (0.513, 0.250, 0.496)

Summary:
total magnetization = 0.00 μB per formula unit
crystal system = monoclinic
DFT total energy = -3.76 eV per atom
SG = P2_1/m
ΔE_f (raw) = -0.60 eV per atom